Compound: GdTm2Fe9
Source: OQMD via LeMat-Bulk
Functional: PBE
Structure: optimized geometry

The calculation puts the total energy at -7.46 eV per atom.

The structure belongs to space group R-3m (No. 166, hexagonal axes); the cell edges are 5.0290, 5.0290 and 23.9688 Å and the angles 90.00°, 90.00° and 120.00°. The distinct sites, in fractional coordinates, are Gd at (0.0000, 0.0000, 0.0000), Tm at (0.0000, 0.0000, 0.1421), Fe at (0.0000, 0.0000, 0.3328), Fe at (0.0000, 0.0000, 0.5000) and Fe at (0.9996, 0.4998, 0.0824).